## TaCuPb2 (PBE)

Data for a relaxed structure of TaCuPb2.

Values from the calculation:
The density of states at the Fermi level comes out at 0.485 states/eV/atom. The offset from the most stable computed form comes out at 131.3 meV per atom.

Lattice parameters (Å, degrees): 3.769 4.295 5.727 90.00 109.17 90.00
Element x y z (fractional)
Ta: 0.000 0.000 0.000
Cu: 0.145 0.500 0.287
Pb: 0.428 0.500 0.856
Pb: 0.721 0.000 0.442

=====

## TaCuPb (PBE)

Data for a relaxed structure of TaCuPb.

Values from the calculation:
The density of states at the Fermi level comes out at 0.840 states/eV/atom. The calculation puts the total energy at -6.047 eV/atom.

Lattice parameters (Å, degrees): 3.088 3.088 7.217 90.00 90.00 120.00
Element x y z (fractional)
Ta: 0.000 0.000 0.000
Cu: 0.667 0.333 0.286
Pb: 0.333 0.667 0.637